No. 1
# PBE CePd8Pt4, optimized geometry
data_CePd8Pt4
_chemical_formula_sum 'Ce2 Pd16 Pt8'
_space_group_name_H-M_alt 'I 4/m m m'
_space_group_IT_number 139
_space_group_name_Hall '-I 4 2'
_cell_length_a 9.1332
_cell_length_b 9.1332
_cell_length_c 5.3130
_cell_angle_alpha 90.00
_cell_angle_beta 90.00
_cell_angle_gamma 90.00
loop_
_atom_site_label
_atom_site_type_symbol
_atom_site_fract_x
_atom_site_fract_y
_atom_site_fract_z
Ce1 Ce 0.0000 0.0000 0.0000
Pd1 Pd 0.0000 0.2174 0.5000
Pd2 Pd 0.0000 0.3454 0.0000
Pt1 Pt 0.2500 0.2500 0.2500
# ΔH_f (0 K)	-0.289	eV per atom
# volume	17.05	A^3/atom
# DFT total energy	-5.800	eV per atom
# total magnetization	0.6	Bohr magnetons per cell
# Fermi-level density of states	18.94	states/eV/f.u.


No. 2
# PBE CePd7Pt4, optimized geometry
data_CePd7Pt4
_chemical_formula_sum 'Ce1 Pd7 Pt4'
_space_group_name_H-M_alt 'P -1'
_space_group_IT_number 2
_cell_length_a 4.9643
_cell_length_b 6.1523
_cell_length_c 7.2708
_cell_angle_alpha 76.98
_cell_angle_beta 74.46
_cell_angle_gamma 76.22
loop_
_space_group_symop_operation_xyz
'x,y,z'
'-x,-y,-z'
loop_
_atom_site_label
_atom_site_type_symbol
_atom_site_fract_x
_atom_site_fract_y
_atom_site_fract_z
Ce1 Ce 0.0000 0.0000 0.0000
Pd1 Pd 0.0000 0.5000 0.0000
Pd2 Pd 0.2252 0.1115 0.4602
Pd3 Pd 0.3016 0.6603 0.6292
Pd4 Pd 0.4969 0.7306 0.9216
Pt1 Pt 0.1410 0.5820 0.3132
Pt2 Pt 0.4165 0.2011 0.7475
# ΔH_f (0 K)	-0.245	eV per atom
# volume	17.06	A^3/atom
# DFT total energy	-5.783	eV per atom
# total magnetization	0.0	Bohr magnetons per cell
# Fermi-level density of states	16.49	states/eV/f.u.


No. 3
# PBE Ce2Pd2Pt, optimized geometry
data_Ce2Pd2Pt
_chemical_formula_sum 'Ce6 Pd6 Pt3'
_space_group_name_H-M_alt 'R -3 m'
_space_group_IT_number 166
_space_group_name_Hall '-R 3 2"'
_cell_length_a 4.4465
_cell_length_b 4.4465
_cell_length_c 20.1473
_cell_angle_alpha 90.00
_cell_angle_beta 90.00
_cell_angle_gamma 120.00
loop_
_atom_site_label
_atom_site_type_symbol
_atom_site_fract_x
_atom_site_fract_y
_atom_site_fract_z
Ce1 Ce 0.0000 0.0000 0.0910
Pd1 Pd 0.0000 0.0000 0.3527
Pt1 Pt 0.0000 0.0000 0.5000
# ΔH_f (0 K)	-0.779	eV per atom
# volume	23.01	A^3/atom
# DFT total energy	-6.438	eV per atom
# total magnetization	4.4	Bohr magnetons per cell
# Fermi-level density of states	11.78	states/eV/f.u.


No. 4
# PBE CePd6Pt8, optimized geometry
data_CePd6Pt8
_chemical_formula_sum 'Ce1 Pd6 Pt8'
_space_group_name_H-M_alt 'P -3'
_space_group_IT_number 147
_cell_length_a 7.4859
_cell_length_b 7.4859
_cell_length_c 5.4095
_cell_angle_alpha 90.00
_cell_angle_beta 90.00
_cell_angle_gamma 120.00
loop_
_space_group_symop_operation_xyz
'x,y,z'
'-x,-y,-z'
'-y,x-y,z'
'y,-x+y,-z'
'-x+y,-x,z'
'x-y,x,-z'
loop_
_atom_site_label
_atom_site_type_symbol
_atom_site_fract_x
_atom_site_fract_y
_atom_site_fract_z
Ce1 Ce 0.0000 0.0000 0.0000
Pd1 Pd 0.0893 0.4294 0.8376
Pt1 Pt 0.0488 0.3059 0.3535
Pt2 Pt 0.3333 0.6667 0.2141
# ΔH_f (0 K)	-0.120	eV per atom
# volume	17.50	A^3/atom
# DFT total energy	-5.815	eV per atom
# total magnetization	0.0	Bohr magnetons per cell
# Fermi-level density of states	22.52	states/eV/f.u.


No. 5
# PBE CePd6Pt23, optimized geometry
data_CePd6Pt23
_chemical_formula_sum 'Ce2 Pd12 Pt46'
_space_group_name_H-M_alt 'I 4/m m m'
_space_group_IT_number 139
_space_group_name_Hall '-I 4 2'
_cell_length_a 7.9474
_cell_length_b 7.9474
_cell_length_c 15.6754
_cell_angle_alpha 90.00
_cell_angle_beta 90.00
_cell_angle_gamma 90.00
loop_
_atom_site_label
_atom_site_type_symbol
_atom_site_fract_x
_atom_site_fract_y
_atom_site_fract_z
Ce1 Ce 0.0000 0.0000 0.0000
Pd1 Pd 0.0000 0.0000 0.2471
Pd2 Pd 0.2489 0.2489 0.5000
Pt1 Pt 0.0000 0.0000 0.5000
Pt2 Pt 0.0000 0.2497 0.3717
Pt3 Pt 0.0000 0.2628 0.1309
Pt4 Pt 0.0000 0.5000 0.0000
Pt5 Pt 0.2500 0.2500 0.2500
# ΔH_f (0 K)	-0.122	eV per atom
# volume	16.50	A^3/atom
# DFT total energy	-5.989	eV per atom
# total magnetization	0.0	Bohr magnetons per cell
# Fermi-level density of states	49.57	states/eV/f.u.


No. 6
# PBE CePd3Pt2, optimized geometry
data_CePd3Pt2
_chemical_formula_sum 'Ce6 Pd18 Pt12'
_space_group_name_H-M_alt 'R -3 m'
_space_group_IT_number 166
_space_group_name_Hall '-R 3 2"'
_cell_length_a 5.7339
_cell_length_b 5.7339
_cell_length_c 21.5957
_cell_angle_alpha 90.00
_cell_angle_beta 90.00
_cell_angle_gamma 120.00
loop_
_atom_site_label
_atom_site_type_symbol
_atom_site_fract_x
_atom_site_fract_y
_atom_site_fract_z
Ce1 Ce 0.0000 0.0000 0.2228
Pd1 Pd 0.0037 0.5019 0.2231
Pt1 Pt 0.0000 0.0000 0.0000
Pt2 Pt 0.0000 0.5000 0.0000
# ΔH_f (0 K)	-0.601	eV per atom
# volume	17.08	A^3/atom
# DFT total energy	-6.200	eV per atom
# total magnetization	0.0	Bohr magnetons per cell
# Fermi-level density of states	3.50	states/eV/f.u.


No. 7
# PBE CePd5Pt, optimized geometry
data_CePd5Pt
_chemical_formula_sum 'Ce2 Pd10 Pt2'
_space_group_name_H-M_alt 'I m m 2'
_space_group_IT_number 44
_cell_length_a 5.1007
_cell_length_b 5.4048
_cell_length_c 9.2709
_cell_angle_alpha 90.00
_cell_angle_beta 90.00
_cell_angle_gamma 90.00
loop_
_space_group_symop_operation_xyz
'x,y,z'
'-x,-y,z'
'-x,y,z'
'x,-y,z'
'x+1/2,y+1/2,z+1/2'
'-x+1/2,-y+1/2,z+1/2'
'-x+1/2,y+1/2,z+1/2'
'x+1/2,-y+1/2,z+1/2'
loop_
_atom_site_label
_atom_site_type_symbol
_atom_site_fract_x
_atom_site_fract_y
_atom_site_fract_z
Ce1 Ce 0.0000 0.0000 0.0000
Pd1 Pd 0.0000 0.0000 0.7339
Pd2 Pd 0.0000 0.2544 0.2481
Pd3 Pd 0.2494 0.5000 0.9799
Pt1 Pt 0.0000 0.5000 0.7071
# ΔH_f (0 K)	-0.345	eV per atom
# volume	18.26	A^3/atom
# DFT total energy	-5.765	eV per atom
# total magnetization	0.0	Bohr magnetons per cell
# Fermi-level density of states	3.96	states/eV/f.u.


No. 8
# PBE CePd12Pt6, optimized geometry
data_CePd12Pt6
_chemical_formula_sum 'Ce2 Pd24 Pt12'
_space_group_name_H-M_alt 'I m -3'
_space_group_IT_number 204
_space_group_name_Hall '-I 2 2 3'
_cell_length_a 8.6889
_cell_length_b 8.6889
_cell_length_c 8.6889
_cell_angle_alpha 90.00
_cell_angle_beta 90.00
_cell_angle_gamma 90.00
loop_
_atom_site_label
_atom_site_type_symbol
_atom_site_fract_x
_atom_site_fract_y
_atom_site_fract_z
Ce1 Ce 0.0000 0.0000 0.0000
Pd1 Pd 0.0000 0.2621 0.1781
Pt1 Pt 0.0000 0.1453 0.5000
# ΔH_f (0 K)	0.104	eV per atom
# volume	17.26	A^3/atom
# DFT total energy	-5.395	eV per atom
# total magnetization	0.1	Bohr magnetons per cell
# Fermi-level density of states	42.02	states/eV/f.u.


No. 9
# PBE CePd3Pt2, optimized geometry
data_CePd3Pt2
_chemical_formula_sum 'Ce4 Pd12 Pt8'
_space_group_name_H-M_alt 'C m c m'
_space_group_IT_number 63
_space_group_name_Hall '-C 2c 2'
_cell_length_a 5.6946
_cell_length_b 14.1003
_cell_length_c 5.3444
_cell_angle_alpha 90.00
_cell_angle_beta 90.00
_cell_angle_gamma 90.00
loop_
_atom_site_label
_atom_site_type_symbol
_atom_site_fract_x
_atom_site_fract_y
_atom_site_fract_z
Ce1 Ce 0.0000 0.1547 0.2500
Pd1 Pd 0.0000 0.3426 0.7500
Pd2 Pd 0.2501 0.1731 0.7500
Pt1 Pt 0.2415 0.5000 0.0000
# ΔH_f (0 K)	-0.473	eV per atom
# volume	17.88	A^3/atom
# DFT total energy	-6.072	eV per atom
# total magnetization	0.0	Bohr magnetons per cell
# Fermi-level density of states	6.00	states/eV/f.u.


No. 10
# PBE Ce3Pd2Pt9, optimized geometry
data_Ce3Pd2Pt9
_chemical_formula_sum 'Ce6 Pd4 Pt18'
_space_group_name_H-M_alt 'I m m m'
_space_group_IT_number 71
_space_group_name_Hall '-I 2 2'
_cell_length_a 4.3084
_cell_length_b 10.0566
_cell_length_c 12.3233
_cell_angle_alpha 90.00
_cell_angle_beta 90.00
_cell_angle_gamma 90.00
loop_
_atom_site_label
_atom_site_type_symbol
_atom_site_fract_x
_atom_site_fract_y
_atom_site_fract_z
Ce1 Ce 0.0000 0.0000 0.0000
Ce2 Ce 0.0000 0.0000 0.3037
Pd1 Pd 0.0000 0.1737 0.5000
Pt1 Pt 0.0000 0.2802 0.1287
Pt2 Pt 0.0000 0.3725 0.3410
Pt3 Pt 0.0000 0.5000 0.0000
# ΔH_f (0 K)	-0.709	eV per atom
# volume	19.07	A^3/atom
# DFT total energy	-6.605	eV per atom
# total magnetization	0.8	Bohr magnetons per cell
# Fermi-level density of states	12.75	states/eV/f.u.


No. 11
# PBE CePdPt, optimized geometry
data_CePdPt
_chemical_formula_sum 'Ce1 Pd1 Pt1'
_space_group_name_H-M_alt 'P -6 m 2'
_space_group_IT_number 187
_space_group_name_Hall 'P -6 2'
_cell_length_a 4.5652
_cell_length_b 4.5652
_cell_length_c 3.5098
_cell_angle_alpha 90.00
_cell_angle_beta 90.00
_cell_angle_gamma 120.00
loop_
_atom_site_label
_atom_site_type_symbol
_atom_site_fract_x
_atom_site_fract_y
_atom_site_fract_z
Ce1 Ce 0.0000 0.0000 0.0000
Pd1 Pd 0.6667 0.3333 0.5000
Pt1 Pt 0.3333 0.6667 0.5000
# ΔH_f (0 K)	-0.782	eV per atom
# volume	21.12	A^3/atom
# DFT total energy	-6.504	eV per atom
# total magnetization	0.6	Bohr magnetons per cell
# Fermi-level density of states	5.43	states/eV/f.u.


No. 12
# PBE Ce2PdPt9, optimized geometry
data_Ce2PdPt9
_chemical_formula_sum 'Ce2 Pd1 Pt9'
_space_group_name_H-M_alt 'P 4/m m m'
_space_group_IT_number 123
_space_group_name_Hall '-P 4 2'
_cell_length_a 4.1183
_cell_length_b 4.1183
_cell_length_c 12.2516
_cell_angle_alpha 90.00
_cell_angle_beta 90.00
_cell_angle_gamma 90.00
loop_
_atom_site_label
_atom_site_type_symbol
_atom_site_fract_x
_atom_site_fract_y
_atom_site_fract_z
Ce1 Ce 0.0000 0.0000 0.1748
Pd1 Pd 0.0000 0.0000 0.5000
Pt1 Pt 0.0000 0.5000 0.0000
Pt2 Pt 0.0000 0.5000 0.3406
Pt3 Pt 0.5000 0.5000 0.1703
Pt4 Pt 0.5000 0.5000 0.5000
# ΔH_f (0 K)	-0.646	eV per atom
# volume	17.32	A^3/atom
# DFT total energy	-6.598	eV per atom
# total magnetization	0.0	Bohr magnetons per cell
# Fermi-level density of states	12.45	states/eV/f.u.


Repeat the twelfth record exactly.
# PBE Ce2PdPt9, optimized geometry
data_Ce2PdPt9
_chemical_formula_sum 'Ce2 Pd1 Pt9'
_space_group_name_H-M_alt 'P 4/m m m'
_space_group_IT_number 123
_space_group_name_Hall '-P 4 2'
_cell_length_a 4.1183
_cell_length_b 4.1183
_cell_length_c 12.2516
_cell_angle_alpha 90.00
_cell_angle_beta 90.00
_cell_angle_gamma 90.00
loop_
_atom_site_label
_atom_site_type_symbol
_atom_site_fract_x
_atom_site_fract_y
_atom_site_fract_z
Ce1 Ce 0.0000 0.0000 0.1748
Pd1 Pd 0.0000 0.0000 0.5000
Pt1 Pt 0.0000 0.5000 0.0000
Pt2 Pt 0.0000 0.5000 0.3406
Pt3 Pt 0.5000 0.5000 0.1703
Pt4 Pt 0.5000 0.5000 0.5000
# ΔH_f (0 K)	-0.646	eV per atom
# volume	17.32	A^3/atom
# DFT total energy	-6.598	eV per atom
# total magnetization	0.0	Bohr magnetons per cell
# Fermi-level density of states	12.45	states/eV/f.u.


What is the formula in the fourth record?
CePd6Pt8


Among the records above, which one has the lowest Fermi-level density of states?
number 6


Number 7 is which compound?
CePd5Pt